Here is AcY2ThS4 after structural relaxation from Alexandria. Energies are from PBE.

Results
formation energy (no corrections)	-1.93	eV per atom
DFT total energy	-56.41	eV per cell

Unit cell a=3.983 b=7.153 c=6.933 alpha=71.24 beta=90.00 gamma=90.00
Atoms (fractional coordinates):
1 S 0.500 0.231 0.749
2 S 0.500 0.769 0.251
3 S 0.000 0.226 0.265
4 S 0.000 0.774 0.735
5 Th 0.000 0.500 0.500
6 Y 0.500 0.000 0.500
7 Y 0.000 0.000 0.000
8 Ac 0.500 0.500 0.000